First-principles (PBE-GGA) data for a relaxed RbLaPb4 crystal, as listed in the Alexandria database.

final energy: -3.6768 eV per atom

```
data_RbLaPb4
_cell_length_a 9.359
_cell_length_b 9.359
_cell_length_c 9.359
_cell_angle_alpha 90.00
_cell_angle_beta 90.00
_cell_angle_gamma 90.00
_space_group_name_H-M_alt 'F -4 3 m'
_space_group_IT_number 216
_space_group_name_Hall 'F -4 2 3'
loop_
_atom_site_label
_atom_site_fract_x
_atom_site_fract_y
_atom_site_fract_z
Rb1 0.000 0.000 0.000
La1 0.250 0.250 0.250
Pb1 0.123 0.123 0.623
```

=====

First-principles (PBE-GGA) data for a relaxed RbLaPb3 crystal, as listed in the Alexandria database.

distance to the lowest polymorph of the same formula: 0 meV/atom

```
data_RbLaPb3
_cell_length_a 6.243
_cell_length_b 6.243
_cell_length_c 6.243
_cell_angle_alpha 90.00
_cell_angle_beta 90.00
_cell_angle_gamma 90.00
_space_group_name_H-M_alt 'P m -3 m'
_space_group_IT_number 221
_space_group_name_Hall '-P 4 2 3'
loop_
_atom_site_label
_atom_site_fract_x
_atom_site_fract_y
_atom_site_fract_z
Rb1 0.000 0.000 0.000
La1 0.500 0.500 0.500
Pb1 0.000 0.500 0.500
```

=====

First-principles (PBE-GGA) data for a relaxed RbLa2Pb crystal, as listed in the Alexandria database.

final energy: -3.4672 eV per atom

```
data_RbLa2Pb
_cell_length_a 9.585
_cell_length_b 9.585
_cell_length_c 7.354
_cell_angle_alpha 90.00
_cell_angle_beta 90.00
_cell_angle_gamma 90.00
_space_group_name_H-M_alt 'I -4 2 d'
_space_group_IT_number 122
_space_group_name_Hall 'I -4 2bw'
loop_
_atom_site_label
_atom_site_fract_x
_atom_site_fract_y
_atom_site_fract_z
Rb1 0.000 0.000 0.000
La1 0.205 0.250 0.625
Pb1 0.000 0.000 0.500
```

=====

First-principles (PBE-GGA) data for a relaxed RbLa4Pb5 crystal, as listed in the Alexandria database.

final energy: -4.3857 eV per atom

```
data_RbLa4Pb5
_cell_length_a 4.296
_cell_length_b 4.296
_cell_length_c 18.769
_cell_angle_alpha 90.00
_cell_angle_beta 90.00
_cell_angle_gamma 90.00
_space_group_name_H-M_alt 'P 4/m m m'
_space_group_IT_number 123
_space_group_name_Hall '-P 4 2'
loop_
_atom_site_label
_atom_site_fract_x
_atom_site_fract_y
_atom_site_fract_z
Rb1 0.000 0.000 0.000
La1 0.000 0.000 0.222
La2 0.000 0.000 0.407
Pb1 0.500 0.500 0.137
Pb2 0.500 0.500 0.313
Pb3 0.500 0.500 0.500
```

=====

First-principles (PBE-GGA) data for a relaxed RbLa3Pb crystal, as listed in the Alexandria database.

distance to the lowest polymorph of the same formula: 598 meV/atom

```
data_RbLa3Pb
_cell_length_a 5.662
_cell_length_b 5.662
_cell_length_c 5.662
_cell_angle_alpha 90.00
_cell_angle_beta 90.00
_cell_angle_gamma 90.00
_space_group_name_H-M_alt 'P m -3 m'
_space_group_IT_number 221
_space_group_name_Hall '-P 4 2 3'
loop_
_atom_site_label
_atom_site_fract_x
_atom_site_fract_y
_atom_site_fract_z
Rb1 0.000 0.000 0.000
La1 0.000 0.000 0.500
Pb1 0.500 0.500 0.500
```

=====

First-principles (PBE-GGA) data for a relaxed RbLa3Pb crystal, as listed in the Alexandria database.

distance to the lowest polymorph of the same formula: 0 meV/atom

```
data_RbLa3Pb
_cell_length_a 6.326
_cell_length_b 6.326
_cell_length_c 6.326
_cell_angle_alpha 90.00
_cell_angle_beta 90.00
_cell_angle_gamma 90.00
_space_group_name_H-M_alt 'P m -3 m'
_space_group_IT_number 221
_space_group_name_Hall '-P 4 2 3'
loop_
_atom_site_label
_atom_site_fract_x
_atom_site_fract_y
_atom_site_fract_z
Rb1 0.000 0.000 0.000
La1 0.000 0.500 0.500
Pb1 0.500 0.500 0.500
```

=====

First-principles (PBE-GGA) data for a relaxed RbLaRu2Pb crystal, as listed in the Alexandria database.

final energy: -4.3290 eV per atom

```
data_RbLaRu2Pb
_cell_length_a 5.198
_cell_length_b 5.198
_cell_length_c 5.924
_cell_angle_alpha 90.00
_cell_angle_beta 90.00
_cell_angle_gamma 90.00
_space_group_name_H-M_alt 'P 4/m m m'
_space_group_IT_number 123
_space_group_name_Hall '-P 4 2'
loop_
_atom_site_label
_atom_site_fract_x
_atom_site_fract_y
_atom_site_fract_z
Rb1 0.000 0.000 0.000
La1 0.500 0.500 0.000
Ru1 0.000 0.500 0.500
Pb1 0.500 0.500 0.500
```

=====

First-principles (PBE-GGA) data for a relaxed Rb3La2PbS6 crystal, as listed in the Alexandria database.

ΔE_f (raw): -1459 meV/atom

```
data_Rb3La2PbS6
_cell_length_a 7.429
_cell_length_b 12.865
_cell_length_c 8.104
_cell_angle_alpha 90.00
_cell_angle_beta 107.76
_cell_angle_gamma 90.00
_space_group_name_H-M_alt 'C 1 2/m 1'
_space_group_IT_number 12
_space_group_name_Hall '-C 2y'
loop_
_atom_site_label
_atom_site_fract_x
_atom_site_fract_y
_atom_site_fract_z
Rb1 0.000 0.000 0.000
Rb2 0.000 0.336 0.000
La1 0.000 0.167 0.500
Pb1 0.000 0.500 0.500
S1 0.232 0.000 0.700
S2 0.234 0.333 0.700
```

=====

First-principles (PBE-GGA) data for a relaxed Rb4La3PbSe8 crystal, as listed in the Alexandria database.

ΔE_f (raw): -1519 meV/atom

```
data_Rb4La3PbSe8
_cell_length_a 8.8989
_cell_length_b 8.8989
_cell_length_c 24.0747
_cell_angle_alpha 90.00
_cell_angle_beta 90.00
_cell_angle_gamma 120.00
_space_group_name_H-M_alt 'R -3 m'
_space_group_IT_number 166
_space_group_name_Hall '-R 3 2"'
loop_
_atom_site_label
_atom_site_fract_x
_atom_site_fract_y
_atom_site_fract_z
Rb1 0.0000 0.0000 0.0000
Rb2 0.0000 0.5000 0.0000
La1 0.0000 0.5000 0.5000
Pb1 0.0000 0.0000 0.5000
Se1 0.0000 0.0000 0.2338
Se2 0.0005 0.5003 0.2342
```

=====

First-principles (PBE-GGA) data for a relaxed Rb2LaPbSe4 crystal, as listed in the Alexandria database.

ΔE_f (raw): -1196 meV/atom

```
data_Rb2LaPbSe4
_cell_length_a 9.127
_cell_length_b 9.157
_cell_length_c 12.947
_cell_angle_alpha 90.00
_cell_angle_beta 90.00
_cell_angle_gamma 90.00
_space_group_name_H-M_alt 'I m m a'
_space_group_IT_number 74
_space_group_name_Hall '-I 2b 2'
loop_
_atom_site_label
_atom_site_fract_x
_atom_site_fract_y
_atom_site_fract_z
Rb1 0.000 0.000 0.000
Rb2 0.250 0.250 0.250
La1 0.250 0.250 0.750
Pb1 0.000 0.000 0.500
Se1 0.000 0.030 0.736
Se2 0.219 0.250 0.514
```

=====

First-principles (PBE-GGA) data for a relaxed RbLa2Te6Pb3 crystal, as listed in the Alexandria database.

ΔE_f (raw): -881 meV/atom

```
data_RbLa2Te6Pb3
_cell_length_a 20.404
_cell_length_b 4.695
_cell_length_c 9.511
_cell_angle_alpha 90.00
_cell_angle_beta 102.70
_cell_angle_gamma 90.00
_space_group_name_H-M_alt 'C 1 2/m 1'
_space_group_IT_number 12
_space_group_name_Hall '-C 2y'
loop_
_atom_site_label
_atom_site_fract_x
_atom_site_fract_y
_atom_site_fract_z
Rb1 0.000 0.000 0.000
La1 0.168 0.500 0.339
Te1 0.008 0.500 0.273
Te2 0.168 0.000 0.585
Te3 0.180 0.000 0.101
Pb1 0.000 0.000 0.500
Pb2 0.158 0.500 0.847
```

=====

First-principles (PBE-GGA) data for a relaxed RbLaTi2Pb crystal, as listed in the Alexandria database.

final energy: -3.6059 eV per atom

```
data_RbLaTi2Pb
_cell_length_a 4.908
_cell_length_b 4.908
_cell_length_c 6.071
_cell_angle_alpha 90.00
_cell_angle_beta 90.00
_cell_angle_gamma 90.00
_space_group_name_H-M_alt 'P 4/m m m'
_space_group_IT_number 123
_space_group_name_Hall '-P 4 2'
loop_
_atom_site_label
_atom_site_fract_x
_atom_site_fract_y
_atom_site_fract_z
Rb1 0.000 0.000 0.000
La1 0.500 0.500 0.500
Ti1 0.000 0.500 0.000
Pb1 0.000 0.000 0.500
```